Entry 1:
DFT (GGA-PBE) results for MnCu2Re after structural relaxation.

Calculated values
The value obtained for the energy relative to the lowest polymorph listed for this composition is 0.115 eV/atom. The formation energy is 304 meV per atom. The value obtained for the total energy is -7.148 eV per atom.

Lattice parameters (Å, degrees): 4.174 4.174 4.174 60.00 60.00 60.00
Fractional positions:
Mn: 0.000 0.000 0.000
Cu: 0.500 0.500 0.500
Cu: 0.750 0.750 0.750
Re: 0.250 0.250 0.250



Entry 2:
DFT (GGA-PBE) results for GaWSe3 after structural relaxation.

Calculated values
The value obtained for the energy relative to the lowest polymorph listed for this composition is 0.972 eV/atom. The value obtained for the total energy is -4.192 eV per atom. As for the formation energy without anion corrections: 105.6 kJ/mol of atoms.

Lattice parameters (Å, degrees): 4.856 4.856 4.856 90.00 90.00 90.00
Fractional positions:
Ga: 0.000 0.000 0.000
W: 0.500 0.500 0.500
Se: 0.000 0.000 0.500
Se: 0.000 0.500 0.000
Se: 0.500 0.000 0.000



Entry 3:
DFT (GGA-PBE) results for LaCu2P2 after structural relaxation.

Calculated values
The formation energy is -258 meV per atom. The value obtained for the total energy is -5.046 eV per atom.

Lattice parameters (Å, degrees): 7.352 7.352 3.149 90.00 90.00 90.00
Fractional positions:
La: 0.000 0.000 0.000
La: 0.500 0.500 0.000
Cu: 0.115 0.385 0.000
Cu: 0.385 0.885 0.000
Cu: 0.615 0.115 0.000
Cu: 0.885 0.615 0.000
P: 0.186 0.686 0.500
P: 0.314 0.186 0.500
P: 0.686 0.814 0.500
P: 0.814 0.314 0.500



Entry 4:
DFT (GGA-PBE) results for SiSe3I after structural relaxation.

Calculated values
The value obtained for the energy relative to the lowest polymorph listed for this composition is 1.073 eV/atom. The value obtained for the total energy is -2.372 eV per atom. As for the formation energy without anion corrections: 107.4 kJ/mol of atoms.

Lattice parameters (Å, degrees): 5.370 5.370 5.370 90.00 90.00 90.00
Fractional positions:
Si: 0.000 0.000 0.000
Se: 0.000 0.500 0.500
Se: 0.500 0.000 0.500
Se: 0.500 0.500 0.000
I: 0.500 0.500 0.500



Entry 5:
DFT (GGA-PBE) results for Nd2Dy3Rh2 after structural relaxation.

Calculated values
The formation energy is -547 meV per atom. The value obtained for the total energy is -5.982 eV per atom.

Lattice parameters (Å, degrees): 6.429 6.429 9.074 115.30 115.30 34.27
Fractional positions:
Nd: 0.164 0.164 0.307
Nd: 0.836 0.836 0.693
Dy: 0.383 0.383 0.070
Dy: 0.500 0.500 0.500
Dy: 0.617 0.617 0.930
Rh: 0.172 0.172 0.743
Rh: 0.828 0.828 0.257



Entry 6:
DFT (GGA-PBE) results for CsTbMoN3 after structural relaxation.

Calculated values
The value obtained for the total energy is -7.393 eV per atom. As for the formation energy without anion corrections: -49.3 kJ/mol of atoms.

Lattice parameters (Å, degrees): 7.102 7.102 8.727 103.32 103.32 31.94
Fractional positions:
Cs: 0.144 0.144 0.072
Cs: 0.856 0.856 0.928
Tb: 0.161 0.161 0.576
Tb: 0.839 0.839 0.424
Mo: 0.492 0.492 0.660
Mo: 0.508 0.508 0.340
N: 0.014 0.014 0.362
N: 0.338 0.338 0.619
N: 0.369 0.369 0.240
N: 0.631 0.631 0.760
N: 0.662 0.662 0.381
N: 0.986 0.986 0.638



Entry 7:
DFT (GGA-PBE) results for YGa6Pt6 after structural relaxation.

Calculated values
The formation energy is -602 meV per atom. The value obtained for the total energy is -5.284 eV per atom.

Lattice parameters (Å, degrees): 6.900 6.900 6.900 135.21 102.83 93.92
Fractional positions:
Y: 0.000 0.000 0.000
Ga: 0.000 0.000 0.500
Ga: 0.000 0.500 0.000
Ga: 0.241 0.500 0.741
Ga: 0.500 0.000 0.000
Ga: 0.500 0.500 0.500
Ga: 0.759 0.500 0.259
Pt: 0.175 0.675 0.500
Pt: 0.336 0.000 0.336
Pt: 0.341 0.341 0.000
Pt: 0.659 0.659 0.000
Pt: 0.664 0.000 0.664
Pt: 0.825 0.325 0.500



Entry 8:
DFT (GGA-PBE) results for LaTlRu3 after structural relaxation.

Calculated values
The formation energy is 1661 meV per atom. The value obtained for the total energy is -5.363 eV per atom.

Lattice parameters (Å, degrees): 4.933 4.933 4.933 90.00 90.00 90.00
Fractional positions:
La: 0.000 0.000 0.000
Tl: 0.500 0.500 0.500
Ru: 0.000 0.000 0.500
Ru: 0.000 0.500 0.000
Ru: 0.500 0.000 0.000



Entry 9:
DFT (GGA-PBE) results for VGaWS2 after structural relaxation.

Calculated values
The value obtained for the total energy is -5.076 eV per atom. As for the formation energy without anion corrections: 153.8 kJ/mol of atoms.

Lattice parameters (Å, degrees): 4.490 4.490 4.854 90.00 90.00 90.00
Fractional positions:
V: 0.000 0.000 0.000
Ga: 0.500 0.500 0.500
W: 0.500 0.500 0.000
S: 0.000 0.500 0.500
S: 0.500 0.000 0.500



Entry 10:
DFT (GGA-PBE) results for Sr4TlP after structural relaxation.

Calculated values
The value obtained for the energy relative to the lowest polymorph listed for this composition is 0.000 eV/atom. The formation energy is -540 meV per atom. The value obtained for the total energy is -2.957 eV per atom.

Lattice parameters (Å, degrees): 8.781 8.781 7.493 107.59 107.59 109.75
Fractional positions:
Sr: 0.057 0.724 0.932
Sr: 0.220 0.340 0.714
Sr: 0.276 0.943 0.568
Sr: 0.340 0.220 0.214
Sr: 0.660 0.780 0.786
Sr: 0.724 0.057 0.432
Sr: 0.780 0.660 0.286
Sr: 0.943 0.276 0.068
Tl: 0.364 0.636 0.250
Tl: 0.636 0.364 0.750
P: 0.010 0.990 0.750
P: 0.990 0.010 0.250